No. 1
The following is a DFT calculation (PBE-GGA) of NaNbCd after structural relaxation.

Structure (POSCAR):
```
NaNbCd
1.0
2.855 0.000 0.000
1.094 5.298 0.000
1.391 -0.018 8.746
Na Nb Cd
2 2 2
Direct
0.063 0.250 0.372
0.937 0.750 0.628
0.000 0.000 0.000
0.500 0.500 0.000
0.386 0.249 0.722
0.614 0.751 0.278
```

Results
ΔH_f (0 K) (eV per atom): 0.313
Space-group type: P-1, No. 2
ρ (g/cm3): 5.73

---

No. 2
The following is a DFT calculation (PBE-GGA) of NaNbCd after structural relaxation.

Structure (POSCAR):
```
NaNbCd
1.0
4.773 0.000 0.000
-2.386 4.133 0.000
0.000 0.000 11.357
Na Nb Cd
2 2 2
Direct
0.333 0.667 0.250
0.667 0.333 0.750
0.000 0.000 0.000
0.000 0.000 0.500
0.000 0.000 0.250
0.000 0.000 0.750
```

Results
ΔH_f (0 K) (eV per atom): 1.694
Space-group type: P6_3/mmc, No. 194
ρ (g/cm3): 3.38

---

No. 3
The following is a DFT calculation (PBE-GGA) of NaNbCd after structural relaxation.

Structure (POSCAR):
```
NaNbCd
1.0
3.739 0.000 0.000
0.000 3.739 0.000
0.000 0.000 11.284
Na Nb Cd
2 2 2
Direct
0.250 0.250 0.246
0.750 0.750 0.754
0.250 0.250 0.960
0.750 0.750 0.040
0.250 0.750 0.500
0.750 0.250 0.500
```

Results
ΔH_f (0 K) (eV per atom): 0.544
Space-group type: P4/nmm, No. 129
ρ (g/cm3): 4.81

---

No. 4
The following is a DFT calculation (PBE-GGA) of NaNbCd after structural relaxation.

Structure (POSCAR):
```
NaNbCd
1.0
2.724 0.000 0.000
0.011 5.275 0.000
0.037 1.089 8.958
Na Nb Cd
2 2 2
Direct
0.245 0.180 0.281
0.755 0.820 0.719
0.250 0.737 0.058
0.750 0.263 0.942
0.253 0.339 0.632
0.747 0.661 0.368
```

Results
ΔH_f (0 K) (eV per atom): 0.307
Space-group type: P-1, No. 2
ρ (g/cm3): 5.89

---

No. 5
The following is a DFT calculation (PBE-GGA) of NaNbCd after structural relaxation.

Structure (POSCAR):
```
NaNbCd
1.0
8.393 0.000 0.000
0.000 5.980 0.000
0.000 0.000 4.847
Na Nb Cd
4 4 4
Direct
0.167 0.250 0.001
0.333 0.750 0.501
0.667 0.250 0.499
0.833 0.750 0.999
0.166 0.750 0.001
0.334 0.250 0.501
0.666 0.750 0.499
0.834 0.250 0.999
0.000 0.000 0.500
0.000 0.500 0.500
0.500 0.000 0.000
0.500 0.500 0.000
```

Results
ΔH_f (0 K) (eV per atom): 0.973
Space-group type: Pnma, No. 62
ρ (g/cm3): 6.23

---

No. 6
The following is a DFT calculation (PBE-GGA) of NaNbCd after structural relaxation.

Structure (POSCAR):
```
NaNbCd
1.0
7.778 -1.676 0.000
7.778 1.676 0.000
-0.012 0.000 5.102
Na Nb Cd
2 2 2
Direct
0.000 0.000 0.000
0.501 0.501 0.500
0.313 0.313 0.000
0.687 0.687 0.999
0.171 0.171 0.499
0.831 0.831 0.500
```

Results
ΔH_f (0 K) (eV per atom): 0.290
Space-group type: Cm, No. 8
ρ (g/cm3): 5.70